# LaTeAuS, relaxed, DFT PBE
data_LaTeAuS
_space_group_name_H-M_alt 'P 1 21/c 1'
_space_group_IT_number 14
_cell_length_a 6.605
_cell_length_b 7.805
_cell_length_c 7.926
_cell_angle_alpha 90.00
_cell_angle_beta 93.50
_cell_angle_gamma 90.00
loop_
_space_group_symop_operation_xyz
'x,y,z'
'-x,-y,-z'
'-x,y+1/2,-z+1/2'
'x,-y+1/2,z+1/2'
loop_
_atom_site_label
_atom_site_fract_x
_atom_site_fract_y
_atom_site_fract_z
La1 0.151 0.022 0.271
Te1 0.358 0.094 0.715
Au1 0.444 0.685 0.482
S1 0.069 0.731 0.501
# - Crystal system: monoclinic
# - Raw total energy: -0.3751 Ry per atom
# - Calculated volume: 408 Å³/cell
# - Magnetization: 0.000 μB per atom